Record 1
First-principles (PBE-GGA) data for CaZnAg2 after structural relaxation, as listed in the Alexandria database.

## Properties
* N(E_F): 1.182 states/eV per cell
* density: 6.401 Mg/m³
* total DFT energy (no corrections): -9.60 eV per cell
* space-group type: No. 6
* calculated volume: 83.3 Å³/cell

Cell: 3.492 3.673 6.498 Å, 90.00 90.81 90.00°
Sites, in units of the cell vectors:
Ca1 0.000 0.000 0.000
Zn1 0.500 0.500 0.296
Ag1 0.498 0.500 0.716
Ag2 0.998 0.000 0.485

Record 2
First-principles (PBE-GGA) data for CaZn2Ag4 after structural relaxation, as listed in the Alexandria database.

## Properties
* E above lowest polymorph: 0 meV per atom
* N(E_F): 2.781 states/eV per cell
* density: 7.512 Mg/m³
* space-group type: No. 71
* calculated volume: 133.2 Å³/cell

Cell: 5.659 5.659 5.659 Å, 123.38 104.49 101.51°
Sites, in units of the cell vectors:
Ca1 0.000 0.000 0.000
Zn1 0.500 0.247 0.747
Zn2 0.500 0.753 0.253
Ag1 0.005 0.304 0.700
Ag2 0.396 0.696 0.700
Ag3 0.604 0.304 0.300
Ag4 0.995 0.696 0.300